# 1
VASP calculation (meta-GGA SCAN) on a PBEsol-optimized structure of K2BaZrO.

Computed properties:
Uncorrected formation energy   1066 meV per atom
Spin magnetization   6.22 μB/cell
Mass density   2.06 g cm⁻³
Total energy   -17.562 eV per atom

a = 6.308 Å, b = 6.308 Å, c = 6.544 Å
α = 90.00°, β = 90.00°, γ = 90.00°
Element x y z (fractional)
K (0.000, 0.500, 0.000)
K (0.500, 0.000, 0.000)
Ba (0.000, 0.000, 0.500)
Zr (0.000, 0.000, 0.000)
O (0.500, 0.500, 0.500)

=====

# 2
VASP calculation (meta-GGA SCAN) on a PBEsol-optimized structure of ZrAl2Cu.

Computed properties:
Spin magnetization   0.00 μB/cell
Mass density   4.72 g cm⁻³
Formation enthalpy at 0 K   -0.11 eV per atom
Total energy   -15.458 eV per atom

a = 3.996 Å, b = 3.996 Å, c = 5.305 Å
α = 90.00°, β = 90.00°, γ = 120.00°
Element x y z (fractional)
Zr (0.000, 0.000, 0.000)
Al (0.333, 0.667, 0.653)
Al (0.667, 0.333, 0.347)
Cu (0.000, 0.000, 0.500)

=====

# 3
VASP calculation (meta-GGA SCAN) on a PBEsol-optimized structure of Th2NiB10.

Computed properties:
Spin magnetization   0.00 μB/cell
Mass density   8.08 g cm⁻³
Formation enthalpy at 0 K   -0.61 eV per atom
Total energy   -22.323 eV per atom

a = 5.602 Å, b = 11.131 Å, c = 4.158 Å
α = 90.00°, β = 90.00°, γ = 90.00°
Element x y z (fractional)
Th (0.191, 0.137, 0.000)
Th (0.309, 0.637, 0.000)
Th (0.691, 0.363, 0.000)
Th (0.809, 0.863, 0.000)
Ni (0.000, 0.500, 0.500)
Ni (0.500, 0.000, 0.500)
B (0.033, 0.312, 0.500)
B (0.126, 0.960, 0.500)
B (0.155, 0.803, 0.500)
B (0.200, 0.387, 0.200)
B (0.200, 0.387, 0.800)
B (0.300, 0.887, 0.200)
B (0.300, 0.887, 0.800)
B (0.345, 0.303, 0.500)
B (0.374, 0.460, 0.500)
B (0.467, 0.812, 0.500)
B (0.533, 0.188, 0.500)
B (0.626, 0.540, 0.500)
B (0.655, 0.697, 0.500)
B (0.700, 0.113, 0.200)
B (0.700, 0.113, 0.800)
B (0.800, 0.613, 0.200)
B (0.800, 0.613, 0.800)
B (0.845, 0.197, 0.500)
B (0.874, 0.040, 0.500)
B (0.967, 0.688, 0.500)

=====

# 4
VASP calculation (meta-GGA SCAN) on a PBEsol-optimized structure of FeRe2Si.

Computed properties:
Uncorrected formation energy   42 meV per atom
Spin magnetization   1.74 μB/cell
Mass density   14.53 g cm⁻³
Total energy   -42.543 eV per atom

a = 3.008 Å, b = 4.067 Å, c = 4.263 Å
α = 90.00°, β = 90.00°, γ = 90.00°
Element x y z (fractional)
Fe (0.000, 0.000, 0.000)
Re (0.000, 0.500, 0.500)
Re (0.500, 0.500, 0.000)
Si (0.500, 0.000, 0.500)

=====

# 5
VASP calculation (meta-GGA SCAN) on a PBEsol-optimized structure of TlTe2Au.

Computed properties:
Uncorrected formation energy   249 meV per atom
Spin magnetization   0.00 μB/cell
Mass density   10.85 g cm⁻³
Total energy   -53.756 eV per atom

a = 5.218 Å, b = 5.218 Å, c = 5.218 Å
α = 60.00°, β = 60.00°, γ = 60.00°
Element x y z (fractional)
Tl (0.000, 0.000, 0.000)
Te (0.500, 0.500, 0.500)
Te (0.750, 0.750, 0.750)
Au (0.250, 0.250, 0.250)

=====

# 6
VASP calculation (meta-GGA SCAN) on a PBEsol-optimized structure of KLi2Mg.

Computed properties:
Spin magnetization   0.00 μB/cell
Mass density   0.95 g cm⁻³
Formation enthalpy at 0 K   0.29 eV per atom
Total energy   -4.226 eV per atom

a = 11.456 Å, b = 11.456 Å, c = 11.456 Å
α = 154.92°, β = 154.92°, γ = 35.76°
Element x y z (fractional)
K (0.000, 0.000, 0.000)
K (0.750, 0.250, 0.500)
Li (0.214, 0.625, 0.089)
Li (0.375, 0.464, 0.589)
Li (0.536, 0.125, 0.911)
Li (0.875, 0.786, 0.411)
Mg (0.250, 0.750, 0.500)
Mg (0.500, 0.500, 0.000)

=====

Look up the spin magnetization of the fifth one.
0.00 μB/cell

=====

What is the mass density in the sixth record?
0.95 g cm⁻³

=====

Look up the spin magnetization of the fourth one.
1.74 μB/cell